5
Lattice="-0.7609 3.3574 2.1719 -3.0317 -1.9260 1.9152 2.6074 -1.2597 2.8607" Properties=species:S:1:pos:R:3 comment="Tc3MoO (PBE with a Hubbard U, optimized geometry)" polymorph_energy_ev_per_fu=0.000 m_tot_mub_per_atom=0.000 final_energy_ev_per_atom=-8.379 n_ef_per_ev_atom=0.444 pbc="T T T"
Tc -0.3804 1.6787 1.0860
O 0.0000 0.0000 0.0000
Tc -1.5159 -0.9630 0.9576
Tc 1.3037 -0.6298 1.4303
Mo -0.5926 0.0859 3.4739

***

18
Lattice="5.4901 0.0000 0.0000 -2.7451 4.7546 0.0000 0.0000 0.0000 9.3671" Properties=species:S:1:pos:R:3 comment="UMnSnO6 (PBE with a Hubbard U, optimized geometry)" m_tot_mub_per_atom=0.556 final_energy_ev_per_atom=-8.019 pbc="T T T"
O 3.5952 0.0025 8.1240
O 1.8950 0.0025 5.9267
O 3.6904 3.1123 8.1240
O -0.9454 1.6423 1.2431
Sn 2.7451 1.5849 7.0254
Mn 0.0000 0.0000 0.0000
Sn 0.0000 3.1697 2.3418
U 2.7451 1.5849 2.3418
O -1.7955 3.1147 3.4405
O 1.7955 3.1147 1.2431
O 0.9496 1.6399 8.1240
O 1.7997 3.1123 5.9267
O -0.8501 4.7521 1.2431
Mn 0.0000 0.0000 4.6836
O 0.8501 4.7521 3.4405
O 4.5405 1.6399 5.9267
U 0.0000 3.1697 7.0254
O 0.9454 1.6423 3.4405